# ScTa2Sb

A geometry-optimized ScTa2Sb structure (PBE-GGA, the Alexandria database).

a b c (Å): 3.607 3.607 6.196
angles (deg): 90.00 90.00 90.00
Fractional coordinates of all 4 atoms:
Ta (0.000, 0.000, 0.471)
Ta (0.000, 0.000, 0.029)
Sb (0.500, 0.500, 0.250)
Sc (0.500, 0.500, 0.750)

* energy: -8.475 eV/atom
* size of the total moment: 0.00 μB/atom
* E_form (uncorrected): 65.1 meV per atom